<one>
First-principles (PBE) data for a geometry-optimized TbHfAl2 structure, as listed in the Alexandria database.

Cell and atoms, written as POSCAR:
```
TbHfAl2
1.0
3.2903 0.0000 0.0000
1.6451 2.8495 0.0000
1.6451 0.9498 9.4844
Hf Al Tb
1 2 1
Cartesian
0.0000 0.0000 0.0000
1.6451 0.9498 2.2287
4.9354 2.8495 7.2557
3.2903 1.8996 4.7422
```

Symmetry = R-3m, No. 166

***

<two>
First-principles (PBE) data for a geometry-optimized TbHfAl2 structure, as listed in the Alexandria database.

Cell and atoms, written as POSCAR:
```
TbHfAl2
1.0
4.1130 0.0000 0.0000
0.0000 4.5229 0.0000
0.0000 0.0000 4.5229
Hf Tb Al
1 1 2
Cartesian
2.0565 2.2614 2.2614
2.0565 0.0000 0.0000
0.0000 0.0000 2.2614
0.0000 2.2614 0.0000
```

Symmetry = P4/mmm, No. 123

***

<three>
First-principles (PBE) data for a geometry-optimized TbHfAl2 structure, as listed in the Alexandria database.

Cell and atoms, written as POSCAR:
```
TbHfAl2
1.0
3.5836 0.0000 0.0000
0.0000 3.5836 0.0000
0.0000 0.0000 6.6052
Tb Al Hf
1 2 1
Cartesian
1.7918 1.7918 3.3026
0.0000 0.0000 5.1899
0.0000 0.0000 1.4152
1.7918 1.7918 0.0000
```

Symmetry = P4/mmm, No. 123

***

<four>
First-principles (PBE) data for a geometry-optimized TbHfAl2 structure, as listed in the Alexandria database.

Cell and atoms, written as POSCAR:
```
TbHfAl2
1.0
4.9235 0.0000 0.0000
2.4617 4.2638 0.0000
2.4617 1.4213 4.0200
Hf Al Tb
1 2 1
Cartesian
4.9235 2.8426 2.0100
2.4617 1.4213 1.0050
7.3852 4.2638 3.0150
0.0000 0.0000 0.0000
```

Symmetry = Fm-3m, No. 225

***

Order of stability, best first: <three>, <two>, <four>, <one>

***

<one>
First-principles (PBE) data for a geometry-optimized Tb2HfAl structure, as listed in the Alexandria database.

Cell and atoms, written as POSCAR:
```
Tb2HfAl
1.0
-2.6938 1.4648 1.1304
-2.8635 -0.4572 -1.5072
-3.9269 -8.6165 6.5315
Tb Al Hf
2 1 1
Cartesian
-6.1517 -1.5577 1.5309
-3.3324 -6.0512 4.6239
-4.7421 -3.8044 3.0774
0.0000 0.0000 0.0000
```

Symmetry = R-3m, No. 166

***

<two>
First-principles (PBE) data for a geometry-optimized Tb2HfAl structure, as listed in the Alexandria database.

Cell and atoms, written as POSCAR:
```
Tb2HfAl
1.0
-3.3242 -0.2999 -0.5575
0.3730 -3.3358 -0.4297
-1.3329 -1.2601 8.6260
Hf Tb Al
1 2 1
Cartesian
-2.1421 -2.4479 3.8194
-1.0214 -0.9657 6.6102
-0.3115 -0.2945 2.0158
-1.4756 -1.8178 -0.4936
```

Symmetry = P4/mmm, No. 123

***

Order of stability, best first: <two>, <one>

***

<one>
First-principles (PBE) data for a geometry-optimized TbHf2Al6 structure, as listed in the Alexandria database.

Cell and atoms, written as POSCAR:
```
TbHf2Al6
1.0
-2.0900 0.9093 -2.2439
3.9500 -4.0877 -5.3356
-5.7722 -3.3755 4.0085
Al Hf Tb
6 2 1
Cartesian
-2.2522 -4.4896 -2.0012
-2.9932 -0.6846 0.2310
0.2882 -0.9250 -2.9228
-1.6600 -2.0642 -1.5699
-4.8691 -1.7816 1.5336
-4.2004 -5.6289 -0.6482
-1.3808 -2.9410 -4.4648
-2.5315 -3.6129 0.8938
-5.7722 -3.3755 4.0085
```

Symmetry = P6/mmm, No. 191

***

<two>
First-principles (PBE) data for a geometry-optimized TbHf2Al6 structure, as listed in the Alexandria database.

Cell and atoms, written as POSCAR:
```
TbHf2Al6
1.0
4.2413 0.0000 0.0000
2.1207 7.1981 1.5256
2.1207 2.9163 6.7553
Al Hf Tb
6 2 1
Cartesian
4.2413 4.3774 1.0290
4.2413 1.8728 4.0882
4.2413 5.8558 3.1650
4.2413 8.2416 4.1928
4.2413 4.2586 5.1159
4.2413 5.7370 7.2519
6.3620 6.2336 5.1036
2.1207 3.8808 3.1773
0.0000 0.0000 0.0000
```

Symmetry = Immm, No. 71

***

Order of stability, best first: <one>, <two>

***

<one>
First-principles (PBE) data for a geometry-optimized Hf3AlTc structure, as listed in the Alexandria database.

Cell and atoms, written as POSCAR:
```
Hf3AlTc
1.0
4.8459 0.0000 0.0000
0.0000 4.8459 0.0000
0.0000 0.0000 4.8459
Tc Al Hf
1 1 3
Cartesian
2.4229 2.4229 2.4229
0.0000 0.0000 0.0000
0.0000 0.0000 2.4229
0.0000 2.4229 0.0000
2.4229 0.0000 0.0000
```

Symmetry = Pm-3m, No. 221

***

<two>
First-principles (PBE) data for a geometry-optimized Hf3AlTc structure, as listed in the Alexandria database.

Cell and atoms, written as POSCAR:
```
Hf3AlTc
1.0
-0.1627 3.8789 3.0770
-1.6131 -2.9522 3.6363
4.6810 -0.8826 1.3600
Al Hf Tc
1 3 1
Cartesian
1.4526 0.0221 4.0367
-0.8066 -1.4761 1.8181
-0.0813 1.9395 1.5385
2.3405 -0.4413 0.6800
0.0000 0.0000 0.0000
```

Symmetry = Pm-3m, No. 221

***

Order of stability, best first: <two>, <one>

***

<one>
First-principles (PBE) data for a geometry-optimized HfAl3Tc structure, as listed in the Alexandria database.

Cell and atoms, written as POSCAR:
```
HfAl3Tc
1.0
-4.4484 -1.4180 1.6563
0.6628 -4.4646 -2.0421
2.0772 -1.6121 4.1987
Tc Hf Al
1 1 3
Cartesian
-0.8542 -3.7474 1.9064
0.0000 0.0000 0.0000
-2.2242 -0.7090 0.8282
0.3314 -2.2323 -1.0211
1.0386 -0.8061 2.0993
```

Symmetry = Pm-3m, No. 221

***

<two>
First-principles (PBE) data for a geometry-optimized HfAl3Tc structure, as listed in the Alexandria database.

Cell and atoms, written as POSCAR:
```
HfAl3Tc
1.0
-1.9394 3.5033 -3.0469
-1.9393 -4.5966 -4.0507
-4.6273 1.1789 4.3008
Al Hf Tc
6 2 2
Cartesian
0.0000 0.0000 0.0000
-6.4667 1.7041 -0.1565
-0.9697 1.7516 -1.5234
-4.2717 2.8465 -0.2401
-2.0393 -1.6185 -2.6403
-4.2342 -2.7609 -2.5567
-3.9475 -0.4476 -0.0793
-4.5584 0.5332 -2.7175
-3.9257 -0.8265 -4.6836
-4.5803 0.9121 1.8868
```

Symmetry = Cmcm, No. 63

***

Order of stability, best first: <two>, <one>

***

<one>
First-principles (PBE) data for a geometry-optimized HfAlTc3 structure, as listed in the Alexandria database.

Cell and atoms, written as POSCAR:
```
HfAlTc3
1.0
-4.2468 0.1805 -1.3776
-0.5329 -4.3032 1.0790
-1.2832 1.1898 4.1114
Al Tc Hf
1 3 1
Cartesian
0.0000 0.0000 0.0000
-0.6416 0.5949 2.0557
-2.1234 0.0902 -0.6888
-0.2664 -2.1516 0.5395
-3.0314 -1.4665 1.9064
```

Symmetry = Pm-3m, No. 221

***

<two>
First-principles (PBE) data for a geometry-optimized HfAlTc3 structure, as listed in the Alexandria database.

Cell and atoms, written as POSCAR:
```
HfAlTc3
1.0
4.7490 0.0000 0.0000
0.0000 4.7490 0.0000
0.0000 0.0000 4.7490
Tc Al Hf
3 1 1
Cartesian
2.3745 0.0000 0.0000
0.0000 2.3745 0.0000
0.0000 0.0000 2.3745
2.3745 2.3745 2.3745
0.0000 0.0000 0.0000
```

Symmetry = Pm-3m, No. 221

***

Order of stability, best first: <one>, <two>

***

<one>
First-principles (PBE) data for a geometry-optimized Hf2Al3Tc structure, as listed in the Alexandria database.

Cell and atoms, written as POSCAR:
```
Hf2Al3Tc
1.0
4.6466 -0.1387 -2.4393
-2.9547 4.3335 -0.2244
-0.1993 0.1375 5.2621
Hf Al Tc
2 3 1
Cartesian
-0.8337 2.8139 3.9019
2.3262 1.5184 -1.3036
2.2236 -0.0006 1.4114
0.7462 2.1662 1.2992
-0.0997 0.0687 2.6310
0.0000 0.0000 0.0000
```

Symmetry = R-3m, No. 166

***

<two>
First-principles (PBE) data for a geometry-optimized Hf2Al3Tc structure, as listed in the Alexandria database.

Cell and atoms, written as POSCAR:
```
Hf2Al3Tc
1.0
-0.2970 5.1496 -1.2639
-6.1500 0.1402 2.0166
0.7417 1.5733 6.2357
Al Tc Hf
6 2 4
Cartesian
-3.1115 2.2497 4.3184
-0.4119 1.3334 5.5295
-0.5604 3.9082 4.8975
-2.5939 4.6134 2.6700
-4.9964 0.3801 2.7229
-5.1449 2.9549 2.0909
-4.4849 2.6848 6.4140
-1.2205 4.1783 0.5744
-0.3436 2.0041 2.6674
-2.7499 1.5038 1.1943
-2.9554 5.3594 5.7941
-5.3617 4.8590 4.3210
```

Symmetry = Cmcm, No. 63

***

Order of stability, best first: <one>, <two>

***

<one>
First-principles (PBE) data for a geometry-optimized HfThAl structure, as listed in the Alexandria database.

Cell and atoms, written as POSCAR:
```
HfThAl
1.0
-2.6250 1.4961 -1.2718
0.9977 -0.8125 -3.0151
-2.6152 -6.0213 2.5393
Th Hf Al
1 1 1
Cartesian
-0.0359 -0.0595 0.0041
-2.1673 -3.5898 0.2502
-2.0393 -1.6883 -2.0019
```

Symmetry = I4mm, No. 107

***

<two>
First-principles (PBE) data for a geometry-optimized HfThAl structure, as listed in the Alexandria database.

Cell and atoms, written as POSCAR:
```
HfThAl
1.0
-1.9807 -1.7039 2.1785
4.0497 -2.1565 1.9954
-1.6944 4.3304 1.8464
Hf Al Th
1 1 1
Cartesian
-0.3247 -0.2793 0.3571
-0.1174 1.8776 2.2675
0.8167 -1.1282 3.3956
```

Symmetry = P3m1, No. 156

***

Order of stability, best first: <one>, <two>

***

<one>
First-principles (PBE) data for a geometry-optimized HfThAl2 structure, as listed in the Alexandria database.

Cell and atoms, written as POSCAR:
```
HfThAl2
1.0
-3.7442 1.3866 -1.7460
0.7510 -2.5841 -3.6626
-2.2008 -3.4478 1.9813
Al Th Hf
2 1 1
Cartesian
-1.1004 -1.7239 0.9907
0.3755 -1.2921 -1.8313
-1.8721 0.6933 -0.8730
-2.5970 -2.3227 -1.7137
```

Symmetry = P4/mmm, No. 123

***

<two>
First-principles (PBE) data for a geometry-optimized HfThAl2 structure, as listed in the Alexandria database.

Cell and atoms, written as POSCAR:
```
HfThAl2
1.0
3.2468 0.0000 0.0000
1.6234 2.8118 0.0000
1.6234 0.9373 9.9393
Al Th Hf
2 1 1
Cartesian
1.6234 0.9373 2.2807
4.8701 2.8118 7.6586
3.2468 1.8745 4.9696
0.0000 0.0000 0.0000
```

Symmetry = R-3m, No. 166

***

Order of stability, best first: <one>, <two>

***

<one>
First-principles (PBE) data for a geometry-optimized HfThAl2 structure, as listed in the Alexandria database.

Cell and atoms, written as POSCAR:
```
HfThAl2
1.0
4.3471 0.0000 0.0000
0.0000 7.6456 0.0000
0.0000 0.0000 10.8956
Al Hf Th
8 4 4
Cartesian
3.2604 0.6238 9.3307
3.2604 4.4466 7.0127
3.2604 6.0869 0.2716
1.0868 1.5587 10.6240
1.0868 5.3815 5.7195
1.0868 7.0218 1.5649
1.0868 3.1990 3.8829
3.2604 2.2641 5.1762
1.0868 0.3475 4.4180
3.2604 3.4753 9.8658
1.0868 4.1703 1.0298
3.2604 7.2981 6.4776
3.2604 5.4624 3.4082
1.0868 6.0060 8.8560
1.0868 2.1832 7.4875
3.2604 1.6396 2.0396
```

Symmetry = Pnma, No. 62

***

<two>
First-principles (PBE) data for a geometry-optimized HfThAl2 structure, as listed in the Alexandria database.

Cell and atoms, written as POSCAR:
```
HfThAl2
1.0
-0.0464 0.9748 3.0693
3.0309 -1.0240 0.3711
2.8266 7.5164 -2.3443
Hf Th Al
1 1 2
Cartesian
1.4922 -0.0246 1.7202
2.9055 3.7336 0.5480
2.1934 5.8328 -1.8192
0.6331 1.6836 -0.5251
```

Symmetry = P4/mmm, No. 123

***

Order of stability, best first: <one>, <two>

***

<one>
First-principles (PBE) data for a geometry-optimized HfTh2Al3 structure, as listed in the Alexandria database.

Cell and atoms, written as POSCAR:
```
HfTh2Al3
1.0
2.0363 2.6826 -4.6741
-2.5568 -5.1370 -0.5139
-4.7178 2.0828 2.6887
Th Al Hf
2 3 1
Cartesian
0.0518 0.3076 -3.3514
-5.2901 -0.6792 0.8521
-2.6192 -0.1858 -1.2497
-1.3408 2.3827 -0.9927
-2.3589 1.0414 1.3443
0.0000 0.0000 0.0000
```

Symmetry = R-3m, No. 166

***

<two>
First-principles (PBE) data for a geometry-optimized HfTh2Al3 structure, as listed in the Alexandria database.

Cell and atoms, written as POSCAR:
```
HfTh2Al3
1.0
5.0399 0.0000 0.0000
0.0000 8.0744 -0.0800
0.0000 -2.8438 7.5575
Al Hf Th
6 2 4
Cartesian
1.2600 3.0882 4.4148
0.0000 -0.8335 6.1512
2.5199 6.0641 1.3262
0.0000 6.0641 1.3262
3.7799 2.1424 3.0626
2.5199 -0.8335 6.1512
3.7799 0.5046 0.7214
1.2600 4.7260 6.7561
3.7799 2.0962 6.2305
1.2600 0.0966 3.3719
1.2600 3.1344 1.2469
3.7799 5.1340 4.1055
```

Symmetry = Cmcm, No. 63

***

Order of stability, best first: <one>, <two>

***

<one>
First-principles (PBE) data for a geometry-optimized Hf3TiAl structure, as listed in the Alexandria database.

Cell and atoms, written as POSCAR:
```
Hf3TiAl
1.0
-0.9651 2.2522 1.8668
-5.4716 -0.6912 -4.5242
-4.2142 -6.9049 6.1517
Ti Hf Al
2 6 2
Cartesian
-6.5282 -3.2951 4.4210
-4.1228 -2.0488 -0.9267
-6.6237 -0.7755 -1.2108
-6.6486 -3.6905 -0.2436
-4.0024 -1.6534 3.7379
-4.0273 -4.5684 4.7050
-8.7262 -7.0945 2.7891
-1.9248 1.7506 0.7052
-2.7256 -1.0599 1.1404
-7.9254 -4.2840 2.3539
```

Symmetry = P2_1/m, No. 11

***

<two>
First-principles (PBE) data for a geometry-optimized Hf3TiAl structure, as listed in the Alexandria database.

Cell and atoms, written as POSCAR:
```
Hf3TiAl
1.0
-4.9247 0.3126 -0.4108
-0.4927 -1.6720 4.6347
0.1539 4.6503 1.6940
Al Hf Ti
1 3 1
Cartesian
0.0000 0.0000 0.0000
0.0769 2.3252 0.8470
-0.2464 -0.8360 2.3174
-2.4623 0.1563 -0.2054
-2.6318 1.6454 2.9590
```

Symmetry = Pm-3m, No. 221

***

Order of stability, best first: <one>, <two>